Entry 1:
Compound: TlFeSe2
Source: Alexandria
Functional: GGA-PBE
Structure: relaxed

Cell: 8.4112 8.4112 8.4112 Å, 157.61 156.32 32.81°
Positions (direct):
Tl  0.0000  0.0000  0.0000
Fe  0.2460  0.7460  0.5000
Se  0.3562  0.3562  0.0000
Se  0.6781  0.1781  0.5000

Calculated values
- Symmetry: Imm2



Entry 2:
Compound: TlFe4Se8
Source: Alexandria
Functional: GGA-PBE
Structure: relaxed

Cell: 8.9881 8.9881 8.9881 Å, 44.91 44.91 44.91°
Positions (direct):
Tl  0.0000  0.0000  0.0000
Fe  0.0000  0.0000  0.5000
Fe  0.0000  0.5000  0.0000
Fe  0.5000  0.0000  0.0000
Fe  0.5000  0.5000  0.5000
Se  0.2240  0.2240  0.2240
Se  0.2236  0.7232  0.7232
Se  0.2768  0.2768  0.7764
Se  0.2768  0.7764  0.2768
Se  0.7232  0.2236  0.7232
Se  0.7232  0.7232  0.2236
Se  0.7764  0.2768  0.2768
Se  0.7760  0.7760  0.7760

Calculated values
- Symmetry: R-3m



DFT total energy for every record listed, in sequence, given in eV per atom: -4.52, -5.19.